A plane-wave DFT calculation with PBE was carried out for a relaxed structure of Ca3AgHg4.

Excess energy over the best structure of this formula in the dataset ... 0.0 meV/atom
Raw total energy ... -1.6607 eV per atom
Formation enthalpy at 0 K ... -0.403 eV per atom
Fermi-level density of states ... 3.99 states/eV/cell
Total moment ... 0.00 μB per atom

a b c (Å): 5.087 5.087 7.841
angles (deg): 90.00 90.00 90.00
Sites, in units of the cell vectors:
1 Ca 0.000 0.000 0.000
2 Ca 0.000 0.000 0.500
3 Ca 0.500 0.500 0.000
4 Ag 0.500 0.500 0.500
5 Hg 0.000 0.500 0.256
6 Hg 0.000 0.500 0.744
7 Hg 0.500 0.000 0.256
8 Hg 0.500 0.000 0.744



A plane-wave DFT calculation with PBE was carried out for a relaxed structure of AcGaPtO4.

Raw total energy ... -6.3576 eV per atom
Fermi-level density of states ... 8.05 states/eV/cell
Formation energy (no corrections) ... -1.642 eV/atom
Total moment ... 0.10 μB per atom

a b c (Å): 5.687 5.687 7.267
angles (deg): 90.00 90.00 111.27
Sites, in units of the cell vectors:
1 Ac 0.000 0.000 0.000
2 Ac 0.000 0.000 0.500
3 Ga 0.376 0.624 0.750
4 Ga 0.624 0.376 0.250
5 Pt 0.295 0.705 0.250
6 Pt 0.705 0.295 0.750
7 O 0.267 0.272 0.750
8 O 0.269 0.731 0.529
9 O 0.269 0.731 0.971
10 O 0.272 0.267 0.250
11 O 0.728 0.733 0.750
12 O 0.731 0.269 0.029
13 O 0.731 0.269 0.471
14 O 0.733 0.728 0.250



A plane-wave DFT calculation with PBE was carried out for a relaxed structure of BaSr2Zn.

Raw total energy ... -1.7178 eV per atom
Formation enthalpy at 0 K ... -0.078 eV per atom
Fermi-level density of states ... 5.38 states/eV/cell
Total moment ... 0.00 μB per atom

a b c (Å): 4.043 4.043 10.715
angles (deg): 90.00 90.00 90.00
Sites, in units of the cell vectors:
1 Ba 0.000 0.000 0.000
2 Sr 0.500 0.500 0.324
3 Sr 0.500 0.500 0.676
4 Zn 0.000 0.000 0.500



A plane-wave DFT calculation with PBE was carried out for a relaxed structure of Ni3C.

Excess energy over the best structure of this formula in the dataset ... 0.0 meV/atom
Raw total energy ... -6.5802 eV per atom
Formation enthalpy at 0 K ... 0.062 eV per atom
Fermi-level density of states ... 6.17 states/eV/cell
Total moment ... 0.00 μB per atom

a b c (Å): 5.062 5.062 5.062
angles (deg): 53.90 53.90 53.90
Sites, in units of the cell vectors:
1 Ni 0.078 0.750 0.422
2 Ni 0.250 0.578 0.922
3 Ni 0.422 0.078 0.750
4 Ni 0.578 0.922 0.250
5 Ni 0.750 0.422 0.078
6 Ni 0.922 0.250 0.578
7 C 0.000 0.000 0.000
8 C 0.500 0.500 0.500



A plane-wave DFT calculation with PBE was carried out for a relaxed structure of BaCa2Br.

Raw total energy ... -2.2420 eV per atom
Fermi-level density of states ... 10.08 states/eV/cell
Formation energy (no corrections) ... -0.342 eV/atom
Total moment ... 0.00 μB per atom

a b c (Å): 5.298 5.298 12.208
angles (deg): 90.00 90.00 90.00
Sites, in units of the cell vectors:
1 Ba 0.000 0.000 0.000
2 Ba 0.500 0.500 0.500
3 Ca 0.000 0.000 0.500
4 Ca 0.000 0.500 0.250
5 Ca 0.500 0.000 0.750
6 Ca 0.500 0.500 0.000
7 Br 0.000 0.500 0.750
8 Br 0.500 0.000 0.250



A plane-wave DFT calculation with PBE was carried out for a relaxed structure of NaAl2B.

Excess energy over the best structure of this formula in the dataset ... 467.1 meV/atom
Raw total energy ... -2.9820 eV per atom
Formation enthalpy at 0 K ... 0.888 eV per atom
Fermi-level density of states ... 4.42 states/eV/cell
Total moment ... 0.00 μB per atom

a b c (Å): 6.297 6.297 6.297
angles (deg): 90.00 90.00 90.00
Sites, in units of the cell vectors:
1 Na 0.000 0.000 0.000
2 Na 0.000 0.500 0.500
3 Na 0.500 0.000 0.500
4 Na 0.500 0.500 0.000
5 Al 0.250 0.250 0.250
6 Al 0.250 0.250 0.750
7 Al 0.250 0.750 0.250
8 Al 0.250 0.750 0.750
9 Al 0.750 0.250 0.250
10 Al 0.750 0.250 0.750
11 Al 0.750 0.750 0.250
12 Al 0.750 0.750 0.750
13 B 0.000 0.000 0.500
14 B 0.000 0.500 0.000
15 B 0.500 0.000 0.000
16 B 0.500 0.500 0.500



A plane-wave DFT calculation with PBE was carried out for a relaxed structure of TbPm2Nd3S6.

Raw total energy ... -6.4627 eV per atom
Fermi-level density of states ... 5.19 states/eV/cell
Formation energy (no corrections) ... -2.029 eV/atom
Total moment ... 0.00 μB per atom

a b c (Å): 6.988 6.988 6.991
angles (deg): 99.56 99.56 120.16
Sites, in units of the cell vectors:
1 Tb 0.000 0.000 0.000
2 Pm 0.333 0.667 0.000
3 Pm 0.667 0.333 0.000
4 Nd 0.169 0.831 0.500
5 Nd 0.500 0.500 0.500
6 Nd 0.831 0.169 0.500
7 S 0.081 0.408 0.243
8 S 0.246 0.246 0.755
9 S 0.408 0.081 0.243
10 S 0.592 0.919 0.757
11 S 0.754 0.754 0.245
12 S 0.919 0.592 0.757



A plane-wave DFT calculation with PBE was carried out for a relaxed structure of Li2NbAg.

Excess energy over the best structure of this formula in the dataset ... 0.0 meV/atom
Raw total energy ... -3.9865 eV per atom
Formation enthalpy at 0 K ... 0.201 eV per atom
Fermi-level density of states ... 8.85 states/eV/cell
Total moment ... 0.00 μB per atom

a b c (Å): 2.817 2.817 30.673
angles (deg): 90.00 90.00 120.00
Sites, in units of the cell vectors:
1 Li 0.000 0.000 0.091
2 Li 0.000 0.000 0.909
3 Li 0.333 0.667 0.576
4 Li 0.333 0.667 0.757
5 Li 0.667 0.333 0.243
6 Li 0.667 0.333 0.424
7 Nb 0.000 0.000 0.000
8 Nb 0.333 0.667 0.667
9 Nb 0.667 0.333 0.333
10 Ag 0.000 0.000 0.500
11 Ag 0.333 0.667 0.167
12 Ag 0.667 0.333 0.833



A plane-wave DFT calculation with PBE was carried out for a relaxed structure of V5Re4Rh.

Raw total energy ... -10.6006 eV per atom
Formation enthalpy at 0 K ... -0.327 eV per atom
Fermi-level density of states ... 7.81 states/eV/cell
Total moment ... 0.01 μB per atom

a b c (Å): 3.041 3.041 15.170
angles (deg): 90.00 90.00 90.00
Sites, in units of the cell vectors:
1 V 0.000 0.000 0.000
2 V 0.000 0.000 0.199
3 V 0.000 0.000 0.396
4 V 0.000 0.000 0.604
5 V 0.000 0.000 0.801
6 Re 0.500 0.500 0.100
7 Re 0.500 0.500 0.301
8 Re 0.500 0.500 0.699
9 Re 0.500 0.500 0.900
10 Rh 0.500 0.500 0.500



A plane-wave DFT calculation with PBE was carried out for a relaxed structure of TiCoNiRh.

Excess energy over the best structure of this formula in the dataset ... 0.0 meV/atom
Raw total energy ... -7.4893 eV per atom
Formation enthalpy at 0 K ... -0.456 eV per atom
Fermi-level density of states ... 4.12 states/eV/cell
Total moment ... 0.39 μB per atom

a b c (Å): 3.679 3.684 3.758
angles (deg): 90.00 90.00 90.00
Sites, in units of the cell vectors:
1 Ti 0.000 0.000 0.000
2 Co 0.500 0.000 0.500
3 Ni 0.000 0.500 0.500
4 Rh 0.500 0.500 0.000



A plane-wave DFT calculation with PBE was carried out for a relaxed structure of Ac12P3N5.

Raw total energy ... -6.1939 eV per atom
Fermi-level density of states ... 51.89 states/eV/cell
Formation energy (no corrections) ... -0.836 eV/atom
Total moment ... 0.00 μB per atom

a b c (Å): 14.500 14.500 14.500
angles (deg): 109.47 109.47 109.47
Sites, in units of the cell vectors:
1 Ac 0.022 0.206 0.118
2 Ac 0.022 0.316 0.904
3 Ac 0.087 0.706 0.684
4 Ac 0.087 0.882 0.404
5 Ac 0.096 0.618 0.413
6 Ac 0.096 0.978 0.684
7 Ac 0.118 0.022 0.206
8 Ac 0.118 0.596 0.913
9 Ac 0.184 0.206 0.587
10 Ac 0.184 0.478 0.596
11 Ac 0.206 0.118 0.022
12 Ac 0.206 0.587 0.184
13 Ac 0.294 0.316 0.913
14 Ac 0.294 0.478 0.382
15 Ac 0.316 0.904 0.022
16 Ac 0.316 0.913 0.294
17 Ac 0.382 0.294 0.478
18 Ac 0.382 0.587 0.904
19 Ac 0.404 0.087 0.882
20 Ac 0.404 0.816 0.522
21 Ac 0.413 0.096 0.618
22 Ac 0.413 0.816 0.794
23 Ac 0.478 0.382 0.294
24 Ac 0.478 0.596 0.184
25 Ac 0.522 0.404 0.816
26 Ac 0.522 0.618 0.706
27 Ac 0.587 0.184 0.206
28 Ac 0.587 0.904 0.382
29 Ac 0.596 0.184 0.478
30 Ac 0.596 0.913 0.118
31 Ac 0.618 0.413 0.096
32 Ac 0.618 0.706 0.522
33 Ac 0.684 0.087 0.706
34 Ac 0.684 0.096 0.978
35 Ac 0.706 0.522 0.618
36 Ac 0.706 0.684 0.087
37 Ac 0.794 0.413 0.816
38 Ac 0.794 0.882 0.978
39 Ac 0.816 0.522 0.404
40 Ac 0.816 0.794 0.413
41 Ac 0.882 0.404 0.087
42 Ac 0.882 0.978 0.794
43 Ac 0.904 0.022 0.316
44 Ac 0.904 0.382 0.587
45 Ac 0.913 0.118 0.596
46 Ac 0.913 0.294 0.316
47 Ac 0.978 0.684 0.096
48 Ac 0.978 0.794 0.882
49 P 0.125 0.250 0.375
50 P 0.125 0.375 0.750
51 P 0.250 0.375 0.125
52 P 0.250 0.875 0.625
53 P 0.375 0.125 0.250
54 P 0.375 0.750 0.125
55 P 0.625 0.250 0.875
56 P 0.625 0.875 0.750
57 P 0.750 0.125 0.375
58 P 0.750 0.625 0.875
59 P 0.875 0.625 0.250
60 P 0.875 0.750 0.625
61 N 0.000 0.000 0.000
62 N 0.000 0.000 0.500
63 N 0.000 0.500 0.000
64 N 0.000 0.500 0.500
65 N 0.125 0.750 0.875
66 N 0.125 0.875 0.250
67 N 0.250 0.125 0.875
68 N 0.250 0.625 0.375
69 N 0.375 0.250 0.625
70 N 0.375 0.625 0.750
71 N 0.500 0.000 0.000
72 N 0.500 0.000 0.500
73 N 0.500 0.500 0.000
74 N 0.500 0.500 0.500
75 N 0.625 0.375 0.250
76 N 0.625 0.750 0.375
77 N 0.750 0.375 0.625
78 N 0.750 0.875 0.125
79 N 0.875 0.125 0.750
80 N 0.875 0.250 0.125



A plane-wave DFT calculation with PBE was carried out for a relaxed structure of MgTiNbMo.

Raw total energy ... -7.4880 eV per atom
Formation enthalpy at 0 K ... 0.110 eV per atom
Fermi-level density of states ... 16.49 states/eV/cell
Total moment ... 0.00 μB per atom

a b c (Å): 6.520 6.520 6.520
angles (deg): 90.00 90.00 90.00
Sites, in units of the cell vectors:
1 Mg 0.000 0.000 0.000
2 Mg 0.000 0.500 0.500
3 Mg 0.500 0.000 0.500
4 Mg 0.500 0.500 0.000
5 Ti 0.250 0.250 0.750
6 Ti 0.250 0.750 0.250
7 Ti 0.750 0.250 0.250
8 Ti 0.750 0.750 0.750
9 Nb 0.250 0.250 0.250
10 Nb 0.250 0.750 0.750
11 Nb 0.750 0.250 0.750
12 Nb 0.750 0.750 0.250
13 Mo 0.000 0.000 0.500
14 Mo 0.000 0.500 0.000
15 Mo 0.500 0.000 0.000
16 Mo 0.500 0.500 0.500



What is the Fermi-level density of states in the seventh record?
5.19 states/eV/cell



Repeat the second record exactly.
A plane-wave DFT calculation with PBE was carried out for a relaxed structure of AcGaPtO4.

Raw total energy ... -6.3576 eV per atom
Fermi-level density of states ... 8.05 states/eV/cell
Formation energy (no corrections) ... -1.642 eV/atom
Total moment ... 0.10 μB per atom

a b c (Å): 5.687 5.687 7.267
angles (deg): 90.00 90.00 111.27
Sites, in units of the cell vectors:
1 Ac 0.000 0.000 0.000
2 Ac 0.000 0.000 0.500
3 Ga 0.376 0.624 0.750
4 Ga 0.624 0.376 0.250
5 Pt 0.295 0.705 0.250
6 Pt 0.705 0.295 0.750
7 O 0.267 0.272 0.750
8 O 0.269 0.731 0.529
9 O 0.269 0.731 0.971
10 O 0.272 0.267 0.250
11 O 0.728 0.733 0.750
12 O 0.731 0.269 0.029
13 O 0.731 0.269 0.471
14 O 0.733 0.728 0.250



Number 6 is which compound?
NaAl2B